Below is a relaxed KMoH2O crystal, with properties calculated at the PBE with a Hubbard U level.

a = 3.629 Å, b = 3.629 Å, c = 8.624 Å
α = 90.00°, β = 90.00°, γ = 90.00°
Space group P4/mmm (No. 123)
Inequivalent atoms, fractional coordinates:
1 K 0.000 0.000 0.000
2 Mo 0.000 0.000 0.500
3 H 0.000 0.500 0.000
4 O 0.500 0.500 0.500

Properties
- Volume: 22.71 Å³ per atom
- VASP energy: -2.93 eV per atom
- D(E_F): 0.25 states/eV per atom